TaAlNO after structural relaxation. Source: the Open Quantum Materials Database, functional GGA-PBE.

Cell: 3.0164 5.9632 5.1823 Å, 90.00 90.00 90.00°
Fractional coordinates of all 8 atoms:
Ta1 0.0000 0.0963 0.0000
Ta2 0.0000 0.9037 0.5000
Al1 0.5000 0.3437 0.5391
Al2 0.5000 0.6563 0.0391
N1 0.0000 0.2296 0.3841
N2 0.0000 0.7704 0.8841
O1 0.5000 0.3724 0.8946
O2 0.5000 0.6276 0.3946

Calculated values
Uncorrected energy in eV/cell: -68.72